[1]
A relaxed Y2RhBr crystal. Source: Alexandria, functional PBE.

Results
- Energy above the most stable polymorph in this dataset: 0 meV per atom

a b c (Å): 7.0444 4.0671 7.9704
angles (deg): 90.00 90.36 90.00
Closest atoms and distances in Å follow each position.
Space group Cm (No. 8)
One atom of each set of equivalent atoms:
Y 0.0000 0.0000 0.0000 x2  3 Rh 2.73, 1 Br 2.98
Y 0.1692 0.5000 0.3653 x2  3 Rh 2.80
Rh 0.3344 0.0000 0.1746 x2  6 Y 2.73-2.80
Br 0.0041 0.0000 0.6266 x2  4 Y 2.98-3.14



[2]
A relaxed SmDyCo2 crystal. Source: Alexandria, functional PBE.

Results
- Energy above the most stable polymorph in this dataset: 0 meV per atom
- Formation enthalpy at 0 K: -0.155 eV per atom

a b c (Å): 3.8762 5.6216 7.5682
angles (deg): 90.00 90.00 90.00
Closest atoms and distances in Å follow each position.
Space group Pmc2_1 (No. 26)
One atom of each set of equivalent atoms:
Sm 0.0000 0.1325 0.0000 x2  7 Co 2.95-3.09
Dy 0.5000 0.3685 0.6437 x2  7 Co 2.87-3.19
Co 0.0000 0.3561 0.3519 x2  2 Co 2.27
Co 0.5000 0.1608 0.2967 x2  2 Co 2.27



[3]
A relaxed Ba2GaPt2 crystal. Source: Alexandria, functional PBE.

Results
- Formation enthalpy at 0 K: -0.565 eV per atom

a b c (Å): 7.7547 7.7547 4.6165
angles (deg): 90.00 90.00 90.00
Closest atoms and distances in Å follow each position.
Space group P4/mbm (No. 127)
One atom of each set of equivalent atoms:
Ba 0.1749 0.3251 0.0000 x4  6 Pt 3.15-3.32
Ga 0.0000 0.0000 0.5000 x2  4 Pt 3.04
Pt 0.1296 0.6296 0.5000 x4  1 Pt 2.84, 2 Ga 3.04, 2 Ba 3.15